1.
# GdAlPdPt | the Open Quantum Materials Database | GGA-PBE | relaxed
# - Offset from the most stable computed form: 0.0129 eV per atom
# - Space group: P-3m1 (164)
# - Magnetization: 0.00 μB per cell
# - Volume: 153.2 Å³/cell
data_GdAlPdPt
_chemical_formula_sum 'Gd2 Al2 Pd2 Pt2'
_cell_length_a 4.3602
_cell_length_b 4.3602
_cell_length_c 9.3066
_cell_angle_alpha 90.00
_cell_angle_beta 90.00
_cell_angle_gamma 120.00
_symmetry_space_group_name_H-M 'P 1'
_symmetry_Int_Tables_number 1
loop_
_symmetry_equiv_pos_as_xyz
'x,y,z'
loop_
_atom_site_label
_atom_site_type_symbol
_atom_site_fract_x
_atom_site_fract_y
_atom_site_fract_z
Pt1 Pt 0.3333 0.6667 0.5840
Pt2 Pt 0.6667 0.3333 0.4160
Al1 Al 0.0000 0.0000 0.0000
Al2 Al 0.0000 0.0000 0.5000
Pd1 Pd 0.6667 0.3333 0.0780
Pd2 Pd 0.3333 0.6667 0.9220
Gd1 Gd 0.6667 0.3333 0.7469
Gd2 Gd 0.3333 0.6667 0.2531



2.
# TbSi2IrPd | the Open Quantum Materials Database | GGA-PBE | relaxed
# - Space group: I-4m2 (119)
# - Magnetization: 0.03 μB per cell
# - Volume: 84.1 Å³/cell
# - Calculated total energy: -6.866 eV/atom
data_TbSi2IrPd
_chemical_formula_sum 'Tb1 Si2 Ir1 Pd1'
_cell_length_a 5.8080
_cell_length_b 5.8080
_cell_length_c 5.8080
_cell_angle_alpha 138.80
_cell_angle_beta 138.80
_cell_angle_gamma 59.67
_symmetry_space_group_name_H-M 'P 1'
_symmetry_Int_Tables_number 1
loop_
_symmetry_equiv_pos_as_xyz
'x,y,z'
loop_
_atom_site_label
_atom_site_type_symbol
_atom_site_fract_x
_atom_site_fract_y
_atom_site_fract_z
Si1 Si 0.6332 0.1332 0.5000
Si2 Si 0.8668 0.3668 0.5000
Ir1 Ir 0.0000 0.0000 0.0000
Tb1 Tb 0.2500 0.7500 0.5000
Pd1 Pd 0.5000 0.5000 0.0000



3.
# LiP5Pd3 | the Open Quantum Materials Database | GGA-PBE | relaxed
# - Space group: P6/mmm (191)
# - Volume: 172.5 Å³/cell
# - Calculated total energy: -4.971 eV/atom
data_LiP5Pd3
_chemical_formula_sum 'Li1 P5 Pd3'
_cell_length_a 6.2230
_cell_length_b 6.2230
_cell_length_c 5.1438
_cell_angle_alpha 90.00
_cell_angle_beta 90.00
_cell_angle_gamma 120.00
_symmetry_space_group_name_H-M 'P 1'
_symmetry_Int_Tables_number 1
loop_
_symmetry_equiv_pos_as_xyz
'x,y,z'
loop_
_atom_site_label
_atom_site_type_symbol
_atom_site_fract_x
_atom_site_fract_y
_atom_site_fract_z
P1 P 0.6667 0.3333 0.7991
P2 P 0.6667 0.3333 0.2009
P3 P 0.3333 0.6667 0.7991
P4 P 0.0000 0.0000 0.5000
P5 P 0.3333 0.6667 0.2009
Pd1 Pd 0.5000 0.5000 0.5000
Pd2 Pd 0.5000 0.0000 0.5000
Pd3 Pd 0.0000 0.5000 0.5000
Li1 Li 0.0000 0.0000 0.0000



4.
# Ba2CdIrN | the Open Quantum Materials Database | GGA-PBE | relaxed
# - Space group: P4/mmm (123)
# - Magnetization: 0.00 μB per cell
# - Volume: 134.0 Å³/cell
# - Calculated total energy: -4.822 eV/atom
data_Ba2CdIrN
_chemical_formula_sum 'Ba2 Cd1 Ir1 N1'
_cell_length_a 5.9324
_cell_length_b 5.9324
_cell_length_c 3.8075
_cell_angle_alpha 90.00
_cell_angle_beta 90.00
_cell_angle_gamma 90.00
_symmetry_space_group_name_H-M 'P 1'
_symmetry_Int_Tables_number 1
loop_
_symmetry_equiv_pos_as_xyz
'x,y,z'
loop_
_atom_site_label
_atom_site_type_symbol
_atom_site_fract_x
_atom_site_fract_y
_atom_site_fract_z
Ba1 Ba 0.0000 0.5000 0.0000
Ba2 Ba 0.5000 0.0000 0.0000
N1 N 0.5000 0.5000 0.0000
Cd1 Cd 0.0000 0.0000 0.5000
Ir1 Ir 0.5000 0.5000 0.5000



5.
# TbTmZn2Au4 | the Open Quantum Materials Database | GGA-PBE | relaxed
# - Space group: P4/mmm (123)
# - Magnetization: 0.00 μB per cell
# - Formation energy from the elements: -643 meV/atom
# - Volume: 158.0 Å³/cell
data_TbTmZn2Au4
_chemical_formula_sum 'Tb1 Tm1 Zn2 Au4'
_cell_length_a 4.8164
_cell_length_b 4.8164
_cell_length_c 6.8130
_cell_angle_alpha 90.00
_cell_angle_beta 90.00
_cell_angle_gamma 90.00
_symmetry_space_group_name_H-M 'P 1'
_symmetry_Int_Tables_number 1
loop_
_symmetry_equiv_pos_as_xyz
'x,y,z'
loop_
_atom_site_label
_atom_site_type_symbol
_atom_site_fract_x
_atom_site_fract_y
_atom_site_fract_z
Au1 Au 0.0000 0.5000 0.7558
Au2 Au 0.5000 0.0000 0.7558
Au3 Au 0.0000 0.5000 0.2442
Au4 Au 0.5000 0.0000 0.2442
Zn1 Zn 0.5000 0.5000 0.5000
Zn2 Zn 0.0000 0.0000 0.0000
Tm1 Tm 0.5000 0.5000 0.0000
Tb1 Tb 0.0000 0.0000 0.5000



6.
# Ba2TaAgSe6 | the Open Quantum Materials Database | GGA-PBE | relaxed
# - Space group: Fm-3m (225)
# - Magnetization: 0.00 μB per cell
# - Volume: 282.7 Å³/cell
# - Calculated total energy: -4.880 eV/atom
data_Ba2TaAgSe6
_chemical_formula_sum 'Ba2 Ta1 Ag1 Se6'
_cell_length_a 7.3668
_cell_length_b 7.3668
_cell_length_c 7.3668
_cell_angle_alpha 60.00
_cell_angle_beta 60.00
_cell_angle_gamma 60.00
_symmetry_space_group_name_H-M 'P 1'
_symmetry_Int_Tables_number 1
loop_
_symmetry_equiv_pos_as_xyz
'x,y,z'
loop_
_atom_site_label
_atom_site_type_symbol
_atom_site_fract_x
_atom_site_fract_y
_atom_site_fract_z
Ba1 Ba 0.7500 0.7500 0.7500
Ba2 Ba 0.2500 0.2500 0.2500
Se1 Se 0.2551 0.7449 0.2551
Se2 Se 0.7449 0.2551 0.2551
Se3 Se 0.2551 0.7449 0.7449
Se4 Se 0.2551 0.2551 0.7449
Se5 Se 0.7449 0.7449 0.2551
Se6 Se 0.7449 0.2551 0.7449
Ag1 Ag 0.0000 0.0000 0.0000
Ta1 Ta 0.5000 0.5000 0.5000



7.
# NaHfSnIr | the Open Quantum Materials Database | GGA-PBE | relaxed
# - Offset from the most stable computed form: 0.0000 eV per atom
# - Space group: F-43m (216)
# - Magnetization: 0.00 μB per cell
# - Volume: 72.3 Å³/cell
data_NaHfSnIr
_chemical_formula_sum 'Na1 Hf1 Sn1 Ir1'
_cell_length_a 4.6763
_cell_length_b 4.6763
_cell_length_c 4.6763
_cell_angle_alpha 60.00
_cell_angle_beta 60.00
_cell_angle_gamma 60.00
_symmetry_space_group_name_H-M 'P 1'
_symmetry_Int_Tables_number 1
loop_
_symmetry_equiv_pos_as_xyz
'x,y,z'
loop_
_atom_site_label
_atom_site_type_symbol
_atom_site_fract_x
_atom_site_fract_y
_atom_site_fract_z
Na1 Na 0.7500 0.7500 0.7500
Hf1 Hf 0.0000 0.0000 0.0000
Ir1 Ir 0.2500 0.2500 0.2500
Sn1 Sn 0.5000 0.5000 0.5000



8.
# SrLiHf | the Open Quantum Materials Database | GGA-PBE | relaxed
# - Space group: F-43m (216)
# - Magnetization: 0.04 μB per cell
# - Volume: 96.8 Å³/cell
# - Calculated total energy: -3.006 eV/atom
data_SrLiHf
_chemical_formula_sum 'Sr1 Li1 Hf1'
_cell_length_a 5.1540
_cell_length_b 5.1540
_cell_length_c 5.1540
_cell_angle_alpha 60.00
_cell_angle_beta 60.00
_cell_angle_gamma 60.00
_symmetry_space_group_name_H-M 'P 1'
_symmetry_Int_Tables_number 1
loop_
_symmetry_equiv_pos_as_xyz
'x,y,z'
loop_
_atom_site_label
_atom_site_type_symbol
_atom_site_fract_x
_atom_site_fract_y
_atom_site_fract_z
Sr1 Sr 0.0000 0.0000 0.0000
Hf1 Hf 0.2500 0.2500 0.2500
Li1 Li 0.7500 0.7500 0.7500